[1]
Material: Pa3Hg
Method: DFT, PBE
State: relaxed

a b c (Å): 6.3737 6.3737 6.3737
angles (deg): 151.15 60.78 127.76
Last column: nearest neighbours and their distance in Å.
Fractional positions:
1 Pa 0.0000 0.0000 0.0000  4 Pa 3.07-3.18, 4 Hg 3.19-3.26
2 Pa 0.4745 0.7110 0.7635  7 Pa 3.07-3.24, 3 Hg 3.29-3.30
3 Pa 0.9476 0.7110 0.2365  7 Pa 3.07-3.24, 3 Hg 3.29-3.30
4 Hg 0.4921 0.9921 0.5000  2 Hg 3.18, 10 Pa 3.19-3.30

Properties
E_tot	-28.5	eV for the cell shown
density of states at the Fermi level	2.257	states/eV/atom
space group	No. 44
ΔE_f	74	meV/atom

=====

[2]
Material: SnOsPt3
Method: DFT, PBE
State: relaxed

a b c (Å): 4.8666 4.8666 4.8666
angles (deg): 90.00 90.00 90.00
Last column: nearest neighbours and their distance in Å.
Fractional positions:
1 Sn 0.0000 0.0000 0.0000  6 Pt 2.43
2 Os 0.5000 0.5000 0.5000  12 Pt 3.44
3 Pt 0.0000 0.0000 0.5000  2 Sn 2.43
4 Pt 0.0000 0.5000 0.0000  2 Sn 2.43
5 Pt 0.5000 0.0000 0.0000  2 Sn 2.43

Properties
E_tot	-24.6	eV for the cell shown
density of states at the Fermi level	0.801	states/eV/atom
space group	No. 221
ΔE_f	1759	meV/atom

=====

How do the records compare in energy above the lowest structure with this stoichiometry? In the order shown, they have 7.65; 74.88 kJ/mol of atoms.